(1)
Density functional theory data (GGA-PBE) for a relaxed structure of Ti2AlCuBi.

It has space group P4/mmm (No. 123), with a = 5.247 Å, b = 5.247 Å, c = 5.288 Å, α = 90.00°, β = 90.00° and γ = 90.00°. The asymmetric unit holds Ti at (0.000, 0.500, 0.000), Al at (0.000, 0.000, 0.500), Cu at (0.500, 0.500, 0.500) and Bi at (0.000, 0.000, 0.000).

For the density of states at the Fermi level, the calculation gives 7.75 states/eV/cell. Its total energy is -20.409 eV for the cell shown. The calculation puts the formation energy at 685 kJ/mol of formula units.

---

(2)
Density functional theory data (GGA-PBE) for a relaxed structure of Co4W.

It has space group Pm-3m (No. 221), with a = 4.398 Å, b = 4.398 Å, c = 4.398 Å, α = 90.00°, β = 90.00° and γ = 90.00°. The asymmetric unit holds Co at (0.000, 0.000, 0.000), Co at (0.000, 0.500, 0.500) and W at (0.500, 0.500, 0.500).

For the density of states at the Fermi level, the calculation gives 7.39 states/eV/cell. Its total energy is -32.629 eV for the cell shown. The calculation puts the formation energy at 844 kJ/mol of formula units.

---

(3)
Density functional theory data (GGA-PBE) for a relaxed structure of Ti2ZnReH.

It has space group P4/mmm (No. 123), with a = 4.213 Å, b = 4.213 Å, c = 3.605 Å, α = 90.00°, β = 90.00° and γ = 90.00°. The asymmetric unit holds Ti at (0.000, 0.500, 0.000), Zn at (0.000, 0.000, 0.500), Re at (0.500, 0.500, 0.500) and H at (0.500, 0.500, 0.000).

For the density of states at the Fermi level, the calculation gives 2.23 states/eV/cell. Its total energy is -33.939 eV for the cell shown.

---

(4)
Density functional theory data (GGA-PBE) for a relaxed structure of Pa3AlS2O6.

It has space group C2/m (No. 12), with a = 11.805 Å, b = 6.879 Å, c = 5.168 Å, α = 90.00°, β = 100.13° and γ = 90.00°. The asymmetric unit holds Pa at (0.000, 0.000, 0.000), Pa at (0.250, 0.250, 0.500), Al at (0.000, 0.500, 0.500), S at (0.209, 0.000, 0.877), O at (0.067, 0.230, 0.284) and O at (0.146, 0.500, 0.629).

For the density of states at the Fermi level, the calculation gives 6.31 states/eV/cell. The uncorrected formation energy is -2.635 eV/atom. Its total energy is -203.705 eV for the cell shown.

---

(5)
Density functional theory data (GGA-PBE) for a relaxed structure of CuOs2PtS.

It has space group P4/mmm (No. 123), with a = 4.958 Å, b = 4.958 Å, c = 4.471 Å, α = 90.00°, β = 90.00° and γ = 90.00°. The asymmetric unit holds Cu at (0.000, 0.000, 0.000), Os at (0.000, 0.500, 0.500), Pt at (0.500, 0.500, 0.500) and S at (0.500, 0.500, 0.000).

For the density of states at the Fermi level, the calculation gives 6.61 states/eV/cell. The uncorrected formation energy is 2.252 eV/atom. Its total energy is -25.462 eV for the cell shown.

---

(6)
Density functional theory data (GGA-PBE) for a relaxed structure of Mn2Be2Ga.

It has space group P4/mbm (No. 127), with a = 6.150 Å, b = 6.150 Å, c = 2.912 Å, α = 90.00°, β = 90.00° and γ = 90.00°. The asymmetric unit holds Mn at (0.121, 0.379, 0.000), Be at (0.171, 0.671, 0.500) and Ga at (0.000, 0.000, 0.000).

For the density of states at the Fermi level, the calculation gives 8.18 states/eV/cell. Its total energy is -56.327 eV for the cell shown. The calculation puts the formation energy at 63 kJ/mol of formula units.

---

(7)
Density functional theory data (GGA-PBE) for a relaxed structure of KLa2OF.

It has space group P4/mmm (No. 123), with a = 5.610 Å, b = 5.610 Å, c = 4.435 Å, α = 90.00°, β = 90.00° and γ = 90.00°. The asymmetric unit holds K at (0.000, 0.000, 0.000), La at (0.000, 0.500, 0.000), O at (0.000, 0.000, 0.500) and F at (0.500, 0.500, 0.500).

For the density of states at the Fermi level, the calculation gives 6.82 states/eV/cell. The uncorrected formation energy is -0.005 eV/atom. Its total energy is -17.806 eV for the cell shown.

---

(8)
Density functional theory data (GGA-PBE) for a relaxed structure of AcInNi3Sn.

It has space group Cmcm (No. 63), with a = 5.597 Å, b = 16.722 Å, c = 5.621 Å, α = 90.00°, β = 90.00° and γ = 90.00°. The asymmetric unit holds Ac at (0.000, 0.242, 0.250), In at (0.000, 0.105, 0.750), Ni at (0.000, 0.257, 0.750), Ni at (0.235, 0.000, 0.000) and Sn at (0.000, 0.407, 0.750).

For the density of states at the Fermi level, the calculation gives 11.33 states/eV/cell. Its total energy is -115.768 eV for the cell shown. The calculation puts the formation energy at -72 kJ/mol of formula units.

---

(9)
Density functional theory data (GGA-PBE) for a relaxed structure of MnCuAg2Ir.

It has space group P4/mmm (No. 123), with a = 4.593 Å, b = 4.593 Å, c = 4.481 Å, α = 90.00°, β = 90.00° and γ = 90.00°. The asymmetric unit holds Mn at (0.000, 0.000, 0.000), Cu at (0.000, 0.000, 0.500), Ag at (0.000, 0.500, 0.500) and Ir at (0.500, 0.500, 0.000).

For the density of states at the Fermi level, the calculation gives 2.11 states/eV/cell. Its total energy is -21.855 eV for the cell shown. The calculation puts the formation energy at 576 kJ/mol of formula units.

---

(10)
Density functional theory data (GGA-PBE) for a relaxed structure of TiZnNi3.

It has space group Pm-3m (No. 221), with a = 4.274 Å, b = 4.274 Å, c = 4.274 Å, α = 90.00°, β = 90.00° and γ = 90.00°. The asymmetric unit holds Ti at (0.000, 0.000, 0.000), Zn at (0.500, 0.500, 0.500) and Ni at (0.000, 0.500, 0.500).

For the density of states at the Fermi level, the calculation gives 9.10 states/eV/cell. Its total energy is -22.996 eV for the cell shown. The calculation puts the formation energy at 339 kJ/mol of formula units.

---

(11)
Density functional theory data (GGA-PBE) for a relaxed structure of CrInReP.

It has space group Amm2 (No. 38), with a = 2.923 Å, b = 4.101 Å, c = 11.879 Å, α = 90.00°, β = 90.00° and γ = 90.00°. The asymmetric unit holds Cr at (0.000, 0.000, 0.000), In at (0.500, 0.000, 0.196), Re at (0.500, 0.000, 0.479) and P at (0.500, 0.000, 0.852).

For the density of states at the Fermi level, the calculation gives 5.12 states/eV/cell. Its total energy is -57.772 eV for the cell shown. The calculation puts the formation energy at 129 kJ/mol of formula units.

---

(12)
Density functional theory data (GGA-PBE) for a relaxed structure of AcCe2Hg4.

It has space group R-3m (No. 166, hexagonal axes), with a = 5.3080 Å, b = 5.3080 Å, c = 27.6416 Å, α = 90.00°, β = 90.00° and γ = 120.00°. The asymmetric unit holds Ac at (0.0000, 0.0000, 0.0000), Ce at (0.0000, 0.0000, 0.2395), Hg at (0.0000, 0.0000, 0.1255) and Hg at (0.0000, 0.0000, 0.3889).

For the density of states at the Fermi level, the calculation gives 59.55 states/eV/cell. Its total energy is -55.704 eV for the cell shown. The calculation puts the formation energy at -134 kJ/mol of formula units.